Record 1
# SCAN Fe2CuSiIr, single point on PBEsol structure
# Formation energy without anion corrections, kJ/mol of formula units: 576
data_Fe2CuSiIr
_cell_length_a 4.170
_cell_length_b 4.170
_cell_length_c 4.524
_cell_angle_alpha 90.00
_cell_angle_beta 90.00
_cell_angle_gamma 90.00
_space_group_name_H-M_alt 'P 4/m m m'
_space_group_IT_number 123
_space_group_name_Hall '-P 4 2'
loop_
_atom_site_label
_atom_site_type_symbol
_atom_site_fract_x
_atom_site_fract_y
_atom_site_fract_z
Fe1 Fe 0.000 0.500 0.000
Cu1 Cu 0.000 0.000 0.000
Si1 Si 0.500 0.500 0.500
Ir1 Ir 0.000 0.000 0.500

=====

Record 2
# SCAN HgPbAu2, single point on PBEsol structure
# ΔH_f (0 K), eV per atom: 0.033
data_HgPbAu2
_cell_length_a 3.281
_cell_length_b 3.616
_cell_length_c 7.209
_cell_angle_alpha 90.00
_cell_angle_beta 90.00
_cell_angle_gamma 90.00
_space_group_name_H-M_alt 'P m m 2'
_space_group_IT_number 25
_space_group_name_Hall 'P 2 -2'
loop_
_atom_site_label
_atom_site_type_symbol
_atom_site_fract_x
_atom_site_fract_y
_atom_site_fract_z
Hg1 Hg 0.000 0.000 0.000
Pb1 Pb 0.500 0.500 0.323
Au1 Au 0.000 0.000 0.572
Au2 Au 0.500 0.500 0.774

=====

Record 3
# SCAN K2TaNi, single point on PBEsol structure
# ΔH_f (0 K), eV per atom: 0.642
data_K2TaNi
_cell_length_a 20.889
_cell_length_b 2.932
_cell_length_c 4.025
_cell_angle_alpha 90.00
_cell_angle_beta 100.96
_cell_angle_gamma 90.00
_space_group_name_H-M_alt 'C 1 2/m 1'
_space_group_IT_number 12
_space_group_name_Hall '-C 2y'
loop_
_atom_site_label
_atom_site_type_symbol
_atom_site_fract_x
_atom_site_fract_y
_atom_site_fract_z
K1 K 0.145 0.000 0.144
Ta1 Ta 0.000 0.000 0.500
Ni1 Ni 0.000 0.500 0.000

=====

Record 4
# SCAN RbMnSi2H, single point on PBEsol structure
# Electronic total energy, eV per atom: -11.628
data_RbMnSi2H
_cell_length_a 5.330
_cell_length_b 5.330
_cell_length_c 3.188
_cell_angle_alpha 90.00
_cell_angle_beta 90.00
_cell_angle_gamma 90.00
_space_group_name_H-M_alt 'P 4/m m m'
_space_group_IT_number 123
_space_group_name_Hall '-P 4 2'
loop_
_atom_site_label
_atom_site_type_symbol
_atom_site_fract_x
_atom_site_fract_y
_atom_site_fract_z
Rb1 Rb 0.000 0.000 0.000
Mn1 Mn 0.500 0.500 0.000
Si1 Si 0.000 0.500 0.500
H1 H 0.500 0.500 0.500

=====

Record 5
# SCAN Ba2CaTlCu2O7, single point on PBEsol structure
# Formation energy without anion corrections, kJ/mol of formula units: -2270
data_Ba2CaTlCu2O7
_cell_length_a 3.775
_cell_length_b 3.775
_cell_length_c 12.740
_cell_angle_alpha 90.00
_cell_angle_beta 90.00
_cell_angle_gamma 90.00
_space_group_name_H-M_alt 'P 4/m m m'
_space_group_IT_number 123
_space_group_name_Hall '-P 4 2'
loop_
_atom_site_label
_atom_site_type_symbol
_atom_site_fract_x
_atom_site_fract_y
_atom_site_fract_z
Ba1 Ba 0.000 0.000 0.209
Ca1 Ca 0.000 0.000 0.500
Tl1 Tl 0.500 0.500 0.000
Cu1 Cu 0.500 0.500 0.367
O1 O 0.000 0.000 0.000
O2 O 0.000 0.500 0.380
O3 O 0.500 0.500 0.164

=====

Record 6
# SCAN ScP2PdO, single point on PBEsol structure
# Formation energy without anion corrections, kJ/mol of formula units: -79
data_ScP2PdO
_cell_length_a 4.668
_cell_length_b 4.668
_cell_length_c 3.818
_cell_angle_alpha 90.00
_cell_angle_beta 90.00
_cell_angle_gamma 90.00
_space_group_name_H-M_alt 'P 4/m m m'
_space_group_IT_number 123
_space_group_name_Hall '-P 4 2'
loop_
_atom_site_label
_atom_site_type_symbol
_atom_site_fract_x
_atom_site_fract_y
_atom_site_fract_z
Sc1 Sc 0.000 0.000 0.000
P1 P 0.000 0.500 0.500
Pd1 Pd 0.500 0.500 0.500
O1 O 0.500 0.500 0.000

=====

Record 7
# SCAN KMgSb, single point on PBEsol structure
# Formation energy without anion corrections, kJ/mol of formula units: 5
data_KMgSb
_cell_length_a 3.5728
_cell_length_b 3.5728
_cell_length_c 8.2820
_cell_angle_alpha 90.00
_cell_angle_beta 90.00
_cell_angle_gamma 120.00
_space_group_name_H-M_alt 'P 3 m 1'
_space_group_IT_number 156
_space_group_name_Hall 'P 3 -2"'
loop_
_atom_site_label
_atom_site_type_symbol
_atom_site_fract_x
_atom_site_fract_y
_atom_site_fract_z
K1 K 0.0000 0.0000 0.0000
Mg1 Mg 0.3333 0.6667 0.6135
Sb1 Sb 0.6667 0.3333 0.3430

=====

Record 8
# SCAN SrZr2Sb, single point on PBEsol structure
# Formation energy without anion corrections, kJ/mol of formula units: -115
data_SrZr2Sb
_cell_length_a 3.694
_cell_length_b 3.694
_cell_length_c 7.983
_cell_angle_alpha 90.00
_cell_angle_beta 90.00
_cell_angle_gamma 90.00
_space_group_name_H-M_alt 'P 4 m m'
_space_group_IT_number 99
_space_group_name_Hall 'P 4 -2'
loop_
_atom_site_label
_atom_site_type_symbol
_atom_site_fract_x
_atom_site_fract_y
_atom_site_fract_z
Sr1 Sr 0.000 0.000 0.000
Zr1 Zr 0.000 0.000 0.539
Zr2 Zr 0.500 0.500 0.334
Sb1 Sb 0.500 0.500 0.716